# 1
3
Lattice="4.5972 0.0000 0.0000 -2.2986 3.9813 0.0000 0.0000 0.0000 2.7239" Properties=species:S:1:pos:R:3 comment="GGA-PBE ScCuMo, optimized geometry" final_energy_ev_per_fu=-20.4 polymorph_energy_mev_per_atom=159 spacegroup=P3m1 pbc="T T T"
Sc 0.0000 0.0000 0.0000
Cu 2.2986 1.3271 1.3676
Mo 0.0000 2.6542 1.3593

***

# 2
5
Lattice="6.1340 0.0000 0.0000 0.0000 6.1340 0.0000 0.0000 0.0000 6.3197" Properties=species:S:1:pos:R:3 comment="GGA-PBE KBaNa2Zn, optimized geometry" final_energy_ev_per_fu=-6.5 spacegroup=P4/mmm pbc="T T T"
K 0.0000 0.0000 0.0000
Ba 3.0670 3.0670 0.0000
Na 0.0000 3.0670 3.1599
Na 3.0670 0.0000 3.1599
Zn 3.0670 3.0670 3.1599